Record 1
Here is a relaxed HfTaS4 crystal from Alexandria. Energies are from GGA-PBE.

POSCAR file:
```
HfTaS4
1.0
-3.081 -4.475 -1.542
2.815 -3.423 4.309
-5.039 1.833 4.748
S Hf Ta
8 2 2
direct
0.755 0.663 0.378 S
0.247 0.819 0.624 S
0.245 0.337 0.378 S
0.253 0.819 0.124 S
0.255 0.337 0.878 S
0.747 0.181 0.124 S
0.753 0.181 0.624 S
0.745 0.663 0.878 S
0.500 0.000 0.388 Hf
0.000 0.000 0.888 Hf
0.500 0.500 0.608 Ta
0.000 0.500 0.108 Ta
```

Values from the calculation:
Crystal system: orthorhombic
M_tot: 0.002 Bohr magnetons per cell
D(E_F): 8.25 states/eV/cell
Uncorrected formation energy: -1.127 eV per atom

***

Record 2
Here is a relaxed HfTaS6 crystal from Alexandria. Energies are from GGA-PBE.

POSCAR file:
```
HfTaS6
1.0
6.234 0.052 0.558
3.153 5.264 0.606
3.621 2.093 5.891
Hf S Ta
1 6 1
direct
0.000 0.000 0.000 Hf
0.379 0.855 0.636 S
0.951 0.532 0.259 S
0.361 0.875 0.145 S
0.621 0.145 0.364 S
0.639 0.125 0.855 S
0.049 0.468 0.741 S
0.500 0.500 0.500 Ta
```

Values from the calculation:
Crystal system: triclinic
M_tot: 0.000 Bohr magnetons per cell
D(E_F): 2.74 states/eV/cell
Uncorrected formation energy: -0.715 eV per atom

***

Record 3
Here is a relaxed Hf3TaS crystal from Alexandria. Energies are from GGA-PBE.

POSCAR file:
```
Hf3TaS
1.0
-1.621 -3.763 -2.357
2.614 -2.837 2.732
-3.590 -0.367 3.054
Hf Ta S
3 1 1
direct
0.000 0.000 0.500 Hf
0.000 0.500 0.000 Hf
0.500 0.000 0.000 Hf
0.500 0.500 0.500 Ta
0.000 0.000 0.000 S
```

Values from the calculation:
Crystal system: cubic
M_tot: 0.000 Bohr magnetons per cell
Energy above the most stable polymorph in this dataset: 0.000 eV per atom
D(E_F): 2.85 states/eV/cell
Uncorrected formation energy: -0.197 eV per atom

***

Record 4
Here is a relaxed HfTaS4 crystal from Alexandria. Energies are from GGA-PBE.

POSCAR file:
```
HfTaS4
1.0
-2.576 -2.311 -0.490
3.041 -4.351 4.534
-3.739 3.466 3.312
S Ta Hf
4 1 1
direct
0.000 0.722 0.228 S
0.500 0.276 0.256 S
0.000 0.278 0.772 S
0.500 0.724 0.744 S
0.500 0.500 0.000 Ta
0.000 0.500 0.500 Hf
```

Values from the calculation:
Crystal system: monoclinic
M_tot: 0.000 Bohr magnetons per cell
D(E_F): 2.73 states/eV/cell
Uncorrected formation energy: -1.272 eV per atom

***

Record 5
Here is a relaxed HfTa3S crystal from Alexandria. Energies are from GGA-PBE.

POSCAR file:
```
HfTa3S
1.0
-4.133 1.143 2.455
-1.991 -4.319 -1.340
1.836 -2.110 4.073
Ta S Hf
3 1 1
direct
0.000 0.000 0.500 Ta
0.500 0.000 0.000 Ta
0.000 0.500 0.000 Ta
0.500 0.500 0.500 S
0.000 0.000 0.000 Hf
```

Values from the calculation:
Crystal system: cubic
M_tot: 0.000 Bohr magnetons per cell
Energy above the most stable polymorph in this dataset: 2.028 eV per atom
D(E_F): 5.93 states/eV/cell
Uncorrected formation energy: 2.105 eV per atom

***

Record 6
Here is a relaxed HfTa3S crystal from Alexandria. Energies are from GGA-PBE.

POSCAR file:
```
HfTa3S
1.0
-0.296 0.957 4.480
-2.787 -3.601 0.585
3.636 -2.682 0.813
Ta Hf S
3 1 1
direct
0.500 0.000 0.000 Ta
0.000 0.500 0.000 Ta
0.000 0.000 0.500 Ta
0.500 0.500 0.500 Hf
0.000 0.000 0.000 S
```

Values from the calculation:
Crystal system: cubic
M_tot: 0.000 Bohr magnetons per cell
Energy above the most stable polymorph in this dataset: 0.000 eV per atom
D(E_F): 3.96 states/eV/cell
Uncorrected formation energy: 0.076 eV per atom

***

Record 7
Here is a relaxed Hf3TaS crystal from Alexandria. Energies are from GGA-PBE.

POSCAR file:
```
Hf3TaS
1.0
5.105 0.000 0.000
0.000 5.105 0.000
0.000 0.000 5.105
S Hf Ta
1 3 1
direct
0.500 0.500 0.500 S
0.000 0.000 0.500 Hf
0.500 0.000 0.000 Hf
0.000 0.500 0.000 Hf
0.000 0.000 0.000 Ta
```

Values from the calculation:
Crystal system: cubic
M_tot: 0.000 Bohr magnetons per cell
Energy above the most stable polymorph in this dataset: 1.361 eV per atom
D(E_F): 8.32 states/eV/cell
Uncorrected formation energy: 1.164 eV per atom

***

Record 8
Here is a relaxed HfTa2S6 crystal from Alexandria. Energies are from GGA-PBE.

POSCAR file:
```
HfTa2S6
1.0
-3.979 -0.668 -1.704
0.488 -3.764 -5.293
-2.142 -7.362 2.261
Ta S Hf
2 6 1
direct
0.857 0.206 0.080 Ta
0.143 0.794 0.920 Ta
0.294 0.355 0.056 S
0.706 0.645 0.944 S
0.031 0.168 0.770 S
0.969 0.832 0.230 S
0.357 0.667 0.619 S
0.643 0.333 0.381 S
0.000 0.500 0.500 Hf
```

Values from the calculation:
Crystal system: monoclinic
M_tot: 0.000 Bohr magnetons per cell
Energy above the most stable polymorph in this dataset: 0.294 eV per atom
D(E_F): 1.85 states/eV/cell
Uncorrected formation energy: -0.896 eV per atom

***

Record 9
Here is a relaxed Hf6TaS crystal from Alexandria. Energies are from GGA-PBE.

POSCAR file:
```
Hf6TaS
1.0
5.259 -0.983 -1.695
1.611 5.275 -1.048
1.048 1.682 5.253
Hf S Ta
6 1 1
direct
0.613 0.234 0.068 Hf
0.068 0.387 0.766 Hf
0.387 0.766 0.932 Hf
0.234 0.068 0.387 Hf
0.932 0.613 0.234 Hf
0.766 0.932 0.613 Hf
0.000 0.000 0.000 S
0.500 0.500 0.500 Ta
```

Values from the calculation:
Crystal system: trigonal
M_tot: 0.000 Bohr magnetons per cell
D(E_F): 7.71 states/eV/cell
Uncorrected formation energy: -0.229 eV per atom

***

Record 10
Here is a relaxed HfTa2S6 crystal from Alexandria. Energies are from GGA-PBE.

POSCAR file:
```
HfTa2S6
1.0
-0.040 1.124 -3.264
1.803 -7.132 -0.652
-9.011 1.459 0.614
Ta S Hf
2 6 1
direct
0.330 0.659 0.160 Ta
0.670 0.341 0.840 Ta
0.361 0.723 0.450 S
0.638 0.277 0.550 S
0.303 0.606 0.875 S
0.964 0.927 0.203 S
0.697 0.394 0.125 S
0.036 0.073 0.797 S
0.000 0.000 0.500 Hf
```

Values from the calculation:
Crystal system: monoclinic
M_tot: 0.000 Bohr magnetons per cell
Energy above the most stable polymorph in this dataset: 0.000 eV per atom
D(E_F): 4.80 states/eV/cell
Uncorrected formation energy: -1.190 eV per atom

***

Record 11
Here is a relaxed HfTaS crystal from Alexandria. Energies are from GGA-PBE.

POSCAR file:
```
HfTaS
1.0
3.343 0.000 0.000
0.000 3.343 0.000
0.000 0.000 9.670
S Ta Hf
2 2 2
direct
0.000 0.500 0.611 S
0.500 0.000 0.389 S
0.500 0.000 0.708 Ta
0.000 0.500 0.292 Ta
0.500 0.000 0.095 Hf
0.000 0.500 0.905 Hf
```

Values from the calculation:
Crystal system: tetragonal
M_tot: 0.000 Bohr magnetons per cell
D(E_F): 6.29 states/eV/cell
Uncorrected formation energy: -0.520 eV per atom

***

Record 12
Here is a relaxed HfTa4S8 crystal from Alexandria. Energies are from GGA-PBE.

POSCAR file:
```
HfTa4S8
1.0
-5.090 2.135 -3.984
0.999 -6.663 0.968
-0.657 0.941 7.160
S Ta Hf
8 4 1
direct
0.494 0.247 0.257 S
0.990 0.753 0.743 S
0.010 0.247 0.257 S
0.990 0.237 0.743 S
0.501 0.251 0.752 S
0.499 0.749 0.248 S
0.506 0.753 0.743 S
0.010 0.763 0.257 S
0.000 0.000 0.000 Ta
0.500 0.500 0.000 Ta
0.000 0.500 0.000 Ta
0.500 0.000 0.000 Ta
0.000 0.500 0.500 Hf
```

Values from the calculation:
Crystal system: trigonal
M_tot: 0.000 Bohr magnetons per cell
D(E_F): 5.18 states/eV/cell
Uncorrected formation energy: -1.048 eV per atom

***

Repeat the eleventh record exactly.
Here is a relaxed HfTaS crystal from Alexandria. Energies are from GGA-PBE.

POSCAR file:
```
HfTaS
1.0
3.343 0.000 0.000
0.000 3.343 0.000
0.000 0.000 9.670
S Ta Hf
2 2 2
direct
0.000 0.500 0.611 S
0.500 0.000 0.389 S
0.500 0.000 0.708 Ta
0.000 0.500 0.292 Ta
0.500 0.000 0.095 Hf
0.000 0.500 0.905 Hf
```

Values from the calculation:
Crystal system: tetragonal
M_tot: 0.000 Bohr magnetons per cell
D(E_F): 6.29 states/eV/cell
Uncorrected formation energy: -0.520 eV per atom

***

Repeat the twelfth record exactly.
Here is a relaxed HfTa4S8 crystal from Alexandria. Energies are from GGA-PBE.

POSCAR file:
```
HfTa4S8
1.0
-5.090 2.135 -3.984
0.999 -6.663 0.968
-0.657 0.941 7.160
S Ta Hf
8 4 1
direct
0.494 0.247 0.257 S
0.990 0.753 0.743 S
0.010 0.247 0.257 S
0.990 0.237 0.743 S
0.501 0.251 0.752 S
0.499 0.749 0.248 S
0.506 0.753 0.743 S
0.010 0.763 0.257 S
0.000 0.000 0.000 Ta
0.500 0.500 0.000 Ta
0.000 0.500 0.000 Ta
0.500 0.000 0.000 Ta
0.000 0.500 0.500 Hf
```

Values from the calculation:
Crystal system: trigonal
M_tot: 0.000 Bohr magnetons per cell
D(E_F): 5.18 states/eV/cell
Uncorrected formation energy: -1.048 eV per atom

***

The lowest uncorrected formation energy belongs to which entry? number 4

***

Number 12 is which compound? HfTa4S8